(1)
This record from Alexandria describes crystalline Pm2Zn2Cu15 at its relaxed geometry. The functional is PBE.

a = 8.6464 Å, b = 8.6464 Å, c = 12.6812 Å
α = 90.00°, β = 90.00°, γ = 120.00°
Closest atoms and distances in Å follow each position.
Space group R-3m (No. 166, hexagonal axes)
Unique sites:
Pm  0.0000  0.0000  0.1524  18 Cu 3.06-3.39, 1 Zn 3.12
Zn  0.0000  0.0000  0.3988  1 Zn 2.57, 12 Cu 2.63-2.87
Cu  0.0000  0.2971  0.5000  8 Cu 2.49-2.63
Cu  0.0000  0.5000  0.0000  8 Cu 2.49-2.50, 2 Zn 2.63
Cu  0.0004  0.5002  0.3459  8 Cu 2.50-2.63, 1 Zn 2.68

Computed properties:
For the energy of formation, the calculation gives -0.132 eV/atom.

(2)
This record from Alexandria describes crystalline LaHgSb at its relaxed geometry. The functional is PBE.

a = 3.6242 Å, b = 4.3736 Å, c = 10.8619 Å
α = 90.00°, β = 90.00°, γ = 90.00°
Closest atoms and distances in Å follow each position.
Space group Imm2 (No. 44)
Unique sites:
La  0.0000  0.0000  0.0000  5 Hg 3.39-3.57, 5 Sb 3.41-3.54, 2 La 3.62
Hg  0.0000  0.0000  0.3291  4 Sb 3.30, 5 La 3.39-3.57, 2 Hg 3.62
Sb  0.0000  0.0000  0.6745  4 Hg 3.30, 5 La 3.41-3.54, 2 Sb 3.62

Computed properties:
The calculation puts the relative energy among the computed polymorphs at 182 meV/atom. The value obtained for the raw formation energy is -0.59 eV/atom.

(3)
This record from Alexandria describes crystalline CsSr2Se at its relaxed geometry. The functional is PBE.

a = 4.3767 Å, b = 4.3767 Å, c = 37.0548 Å
α = 90.00°, β = 90.00°, γ = 120.00°
Closest atoms and distances in Å follow each position.
Space group R-3m (No. 166, hexagonal axes)
Unique sites:
Cs  0.0000  0.0000  0.0000  2 Sr 4.30, 6 Cs 4.38
Sr  0.0000  0.0000  0.1161  3 Se 3.15
Se  0.0000  0.0000  0.5000  6 Sr 3.15

Computed properties:
The value obtained for the raw formation energy is -0.84 eV/atom.

(4)
This record from Alexandria describes crystalline LiAgF2 at its relaxed geometry. The functional is PBE.

a = 5.2528 Å, b = 3.0447 Å, c = 6.3268 Å
α = 90.00°, β = 97.89°, γ = 90.00°
Closest atoms and distances in Å follow each position.
Space group C2/m (No. 12)
Unique sites:
Li  0.0000  0.0000  0.0000  6 F 2.06
Ag  0.0000  0.5000  0.5000  2 F 2.10
F  0.1377  0.5000  0.8277  3 Li 2.06, 1 Ag 2.10

Computed properties:
The calculation puts the relative energy among the computed polymorphs at 1 meV/atom. The value obtained for the raw formation energy is -1.96 eV/atom.

(5)
This record from Alexandria describes crystalline BaTlZn2Co at its relaxed geometry. The functional is PBE.

a = 4.8804 Å, b = 4.8804 Å, c = 5.0234 Å
α = 90.00°, β = 90.00°, γ = 90.00°
Closest atoms and distances in Å follow each position.
Space group P4/mmm (No. 123)
Unique sites:
Ba  0.0000  0.0000  0.0000  4 Tl 3.45, 8 Zn 3.50
Tl  0.5000  0.5000  0.0000  2 Co 2.51
Zn  0.0000  0.5000  0.5000  2 Co 2.44
Co  0.5000  0.5000  0.5000  4 Zn 2.44, 2 Tl 2.51

Computed properties:
For the energy of formation, the calculation gives -0.080 eV/atom.

(6)
This record from Alexandria describes crystalline Pm2Al4Ag3Pd at its relaxed geometry. The functional is PBE.

a = 4.3577 Å, b = 4.3577 Å, c = 10.7509 Å
α = 90.00°, β = 90.00°, γ = 90.00°
Closest atoms and distances in Å follow each position.
Space group P-4m2 (No. 115)
Unique sites:
Pm  0.0000  0.5000  0.2471  6 Ag 3.32-3.44, 8 Al 3.35-3.48, 2 Pd 3.44
Al  0.0000  0.0000  0.5000  4 Ag 2.63
Al  0.0000  0.5000  0.8748  3 Ag 2.55-2.56, 2 Pd 2.56
Al  0.5000  0.5000  0.5000  4 Ag 2.63
Ag  0.0000  0.0000  0.0000  4 Al 2.56
Ag  0.0000  0.5000  0.6373  5 Al 2.55-2.63
Pd  0.5000  0.5000  0.0000  4 Al 2.56

Computed properties:
For the energy of formation, the calculation gives -0.454 eV/atom.

(7)
This record from Alexandria describes crystalline BaZrS2N at its relaxed geometry. The functional is PBE.

a = 5.5597 Å, b = 5.5597 Å, c = 4.2050 Å
α = 90.00°, β = 90.00°, γ = 90.00°
Closest atoms and distances in Å follow each position.
Space group P4/mmm (No. 123)
Unique sites:
Ba  0.0000  0.0000  0.0000  2 N 2.10
Zr  0.5000  0.5000  0.5000  8 S 3.49
S  0.0000  0.5000  0.0000  2 Ba 2.78
N  0.0000  0.0000  0.5000  2 Ba 2.10

Computed properties:
The calculation puts the relative energy among the computed polymorphs at 2247 meV/atom. The value obtained for the raw formation energy is 0.97 eV/atom.

(8)
This record from Alexandria describes crystalline Pm3AlTl4Te8 at its relaxed geometry. The functional is PBE.

a = 8.9521 Å, b = 8.9521 Å, c = 24.3988 Å
α = 90.00°, β = 90.00°, γ = 120.00°
Closest atoms and distances in Å follow each position.
Space group R-3m (No. 166, hexagonal axes)
Unique sites:
Pm  0.0000  0.5000  0.0000  6 Te 3.15-3.17
Al  0.0000  0.0000  0.0000  6 Te 2.92
Tl  0.0000  0.0000  0.5000  6 Te 3.66
Tl  0.0000  0.5000  0.5000  6 Te 3.43-3.45
Te  0.0000  0.0000  0.2593  3 Pm 3.15, 3 Tl 3.43
Te  0.0250  0.5125  0.7355  1 Al 2.92, 2 Pm 3.17

Computed properties:
The value obtained for the raw formation energy is -0.85 eV/atom.

(9)
This record from Alexandria describes crystalline PuSn6 at its relaxed geometry. The functional is PBE.

a = 8.1033 Å, b = 8.1033 Å, c = 8.1033 Å
α = 90.00°, β = 90.00°, γ = 90.00°
Closest atoms and distances in Å follow each position.
Space group Im-3m (No. 229)
Unique sites:
Pu  0.0000  0.0000  0.0000  24 Sn 4.53
Sn  0.0000  0.2500  0.5000  4 Sn 2.86

Computed properties:
For the energy of formation, the calculation gives 0.363 eV/atom.

(10)
This record from Alexandria describes crystalline ZrFe2PCl at its relaxed geometry. The functional is PBE.

a = 4.0554 Å, b = 4.0554 Å, c = 4.9586 Å
α = 90.00°, β = 90.00°, γ = 90.00°
Closest atoms and distances in Å follow each position.
Space group P4/mmm (No. 123)
Unique sites:
Zr  0.0000  0.0000  0.0000  2 Cl 2.48
Fe  0.0000  0.5000  0.5000  2 Cl 2.03
P  0.5000  0.5000  0.0000  4 Zr 2.87, 8 Fe 3.20
Cl  0.0000  0.0000  0.5000  4 Fe 2.03

Computed properties:
The value obtained for the raw formation energy is 0.37 eV/atom.

(11)
This record from Alexandria describes crystalline Th3Ni9Ge2 at its relaxed geometry. The functional is PBE.

a = 3.9787 Å, b = 9.1762 Å, c = 12.1592 Å
α = 90.00°, β = 90.00°, γ = 90.00°
Closest atoms and distances in Å follow each position.
Space group Immm (No. 71)
Unique sites:
Th  0.0000  0.0000  0.0000  12 Ni 2.97-3.16, 4 Ge 3.25
Th  0.0000  0.0000  0.3034  10 Ni 2.85-3.11, 2 Ge 3.13
Ni  0.0000  0.2832  0.1190  4 Ni 2.46-2.63, 2 Ge 2.46
Ni  0.0000  0.3602  0.3274  1 Ge 2.46, 4 Ni 2.47-2.63
Ni  0.0000  0.5000  0.0000  4 Ni 2.46
Ge  0.0000  0.2202  0.5000  6 Ni 2.46

Computed properties:
For the energy of formation, the calculation gives -0.433 eV/atom.

(12)
This record from Alexandria describes crystalline Sm2ErSn9 at its relaxed geometry. The functional is PBE.

a = 4.8093 Å, b = 4.8093 Å, c = 13.7699 Å
α = 90.00°, β = 90.00°, γ = 90.00°
Closest atoms and distances in Å follow each position.
Space group P4/mmm (No. 123)
Unique sites:
Sm  0.0000  0.0000  0.1676  12 Sn 3.33-3.40
Er  0.0000  0.0000  0.5000  12 Sn 3.29-3.40
Sn  0.0000  0.5000  0.0000  4 Sm 3.33, 8 Sn 3.34-3.40
Sn  0.0000  0.5000  0.3367  8 Sn 3.29-3.40, 2 Er 3.29, 2 Sm 3.35
Sn  0.5000  0.5000  0.1684  8 Sn 3.34, 4 Sm 3.40
Sn  0.5000  0.5000  0.5000  8 Sn 3.29, 4 Er 3.40

Computed properties:
For the energy of formation, the calculation gives -0.447 eV/atom.

Number 1: final energy -4.00 eV/atom. Number 2: final energy -3.70 eV/atom. Number 3: final energy -2.76 eV/atom. Number 4: final energy -4.08 eV/atom. Number 5: final energy -2.87 eV/atom. Number 6: final energy -4.28 eV/atom. Number 7: final energy -4.44 eV/atom. Number 8: final energy -4.14 eV/atom. Number 9: final energy -5.12 eV/atom. Number 10: final energy -6.17 eV/atom. Number 11: final energy -6.40 eV/atom. Number 12: final energy -4.62 eV/atom.